# 1
# Ca2BeTeP

An optimized crystal structure of Ca2BeTeP (PBE, Alexandria via LeMat-Bulk).

Computed properties:
formation energy from raw total energies: -0.784 eV/atom
magnetization: 0.000 μB/atom

Unit cell a=5.5755 b=5.5755 c=4.0233 alpha=90.00 beta=90.00 gamma=90.00
Closest atoms and distances in Å follow each position.
Space group P4/mmm (No. 123)
Symmetry-distinct sites (fractional):
Ca  0.0000  0.5000  0.0000 (multiplicity 2)  2 P 2.79
Be  0.0000  0.0000  0.5000 (multiplicity 1)  2 P 2.01
Te  0.5000  0.5000  0.5000 (multiplicity 1)  8 Ca 3.44
P  0.0000  0.0000  0.0000 (multiplicity 1)  2 Be 2.01

---

# 2
# Ca2BeTlP

An optimized crystal structure of Ca2BeTlP (PBE, Alexandria via LeMat-Bulk).

Computed properties:
calculated formation energy: -0.133 eV per atom
magnetization: 0.000 μB/atom

Unit cell a=5.7758 b=5.7758 c=3.7864 alpha=90.00 beta=90.00 gamma=90.00
Closest atoms and distances in Å follow each position.
Space group P4/mmm (No. 123)
Symmetry-distinct sites (fractional):
Ca  0.0000  0.5000  0.0000 (multiplicity 2)  2 Be 2.89
Be  0.0000  0.0000  0.0000 (multiplicity 1)  2 P 1.89
Tl  0.5000  0.5000  0.5000 (multiplicity 1)  8 Ca 3.45, 2 Tl 3.79
P  0.0000  0.0000  0.5000 (multiplicity 1)  2 Be 1.89

---

# 3
# Ca2BePb

An optimized crystal structure of Ca2BePb (PBE, Alexandria via LeMat-Bulk).

Computed properties:
ΔE to the lowest computed polymorph: 0.95 eV per formula unit
calculated formation energy: 0.125 eV per atom
magnetization: 0.000 μB/atom

Unit cell a=4.8261 b=5.3193 c=8.7970 alpha=90.00 beta=90.00 gamma=90.00
Closest atoms and distances in Å follow each position.
Space group Cmm2 (No. 35)
Symmetry-distinct sites (fractional):
Ca  0.0000  0.0000  0.0000 (multiplicity 2)  4 Pb 3.37-3.55, 4 Ca 3.59, 1 Be 3.73
Ca  0.0000  0.5000  0.3598 (multiplicity 2)  4 Be 3.07-3.27, 1 Pb 3.28
Be  0.0000  0.0000  0.5758 (multiplicity 2)  4 Pb 2.78-3.00, 2 Ca 3.07
Pb  0.0000  0.5000  0.7328 (multiplicity 2)  4 Be 2.78-3.00

---

# 4
# CaBePb2

An optimized crystal structure of CaBePb2 (PBE, Alexandria via LeMat-Bulk).

Computed properties:
calculated formation energy: 0.150 eV per atom
magnetization: 0.000 μB/atom

Unit cell a=4.4537 b=6.1146 c=7.6163 alpha=90.00 beta=90.00 gamma=90.00
Closest atoms and distances in Å follow each position.
Space group Cmmm (No. 65)
Symmetry-distinct sites (fractional):
Ca  0.0000  0.0000  0.0000 (multiplicity 2)  4 Pb 3.17
Be  0.0000  0.0000  0.5000 (multiplicity 2)  4 Pb 2.71
Pb  0.0000  0.5000  0.2963 (multiplicity 4)  2 Be 2.71

---

# 5
# CaBePb

An optimized crystal structure of CaBePb (PBE, Alexandria via LeMat-Bulk).

Computed properties:
calculated formation energy: 0.181 eV per atom
magnetization: 0.000 μB/atom

Unit cell a=3.5373 b=3.5373 c=11.4151 alpha=90.00 beta=90.00 gamma=90.00
Closest atoms and distances in Å follow each position.
Space group I4mm (No. 107)
Symmetry-distinct sites (fractional):
Ca  0.0000  0.0000  0.0000 (multiplicity 2)  4 Be 3.17, 5 Pb 3.29-3.48, 4 Ca 3.54
Be  0.0000  0.0000  0.3298 (multiplicity 2)  4 Pb 2.84, 4 Ca 3.17
Pb  0.0000  0.0000  0.7116 (multiplicity 2)  4 Be 2.84

---

# 6
# Ca2BePb

An optimized crystal structure of Ca2BePb (PBE, Alexandria via LeMat-Bulk).

Computed properties:
ΔE to the lowest computed polymorph: 0.00 eV per formula unit
calculated formation energy: -0.112 eV per atom
magnetization: 0.000 μB/atom

Unit cell a=4.5872 b=4.3432 c=6.0842 alpha=90.00 beta=112.14 gamma=90.00
Closest atoms and distances in Å follow each position.
Space group Pm (No. 6)
Symmetry-distinct sites (fractional):
Ca  0.0000  0.0000  0.0000 (multiplicity 1)  3 Pb 3.26-3.32, 4 Be 3.29-3.30
Ca  0.2881  0.5000  0.5748 (multiplicity 1)  3 Be 3.25-3.33, 4 Pb 3.29
Be  0.5846  0.5000  0.1663 (multiplicity 1)  2 Pb 2.57
Pb  0.7055  0.0000  0.4105 (multiplicity 1)  2 Be 2.57

---

# 7
# Ca2BePb

An optimized crystal structure of Ca2BePb (PBE, Alexandria via LeMat-Bulk).

Computed properties:
ΔE to the lowest computed polymorph: 2.30 eV per formula unit
calculated formation energy: 0.463 eV per atom
magnetization: 0.000 μB/atom

Unit cell a=4.8205 b=4.8205 c=21.0026 alpha=90.00 beta=90.00 gamma=90.00
Closest atoms and distances in Å follow each position.
Space group I-42d (No. 122)
Symmetry-distinct sites (fractional):
Ca  0.2394  0.2500  0.1250 (multiplicity 8)  2 Be 3.11, 2 Pb 3.15, 4 Ca 3.34-3.48
Be  0.0000  0.0000  0.0000 (multiplicity 4)  4 Ca 3.11, 4 Pb 3.41
Pb  0.0000  0.0000  0.5000 (multiplicity 4)  4 Ca 3.15, 4 Be 3.41

---

# 8
# Ca2BePb

An optimized crystal structure of Ca2BePb (PBE, Alexandria via LeMat-Bulk).

Computed properties:
ΔE to the lowest computed polymorph: 0.39 eV per formula unit
calculated formation energy: -0.014 eV per atom
magnetization: 0.000 μB/atom

Unit cell a=11.7608 b=3.9007 c=5.1092 alpha=90.00 beta=115.66 gamma=90.00
Closest atoms and distances in Å follow each position.
Space group Cm (No. 8)
Symmetry-distinct sites (fractional):
Ca  0.0000  0.0000  0.0000 (multiplicity 2)  4 Be 3.32-3.66, 4 Pb 3.33, 4 Ca 3.36-3.67
Ca  0.2064  0.0000  0.7063 (multiplicity 2)  4 Be 3.25-3.26, 2 Ca 3.36-3.37, 4 Pb 3.40-3.63
Be  0.2537  0.5000  0.2526 (multiplicity 2)  2 Pb 2.62
Pb  0.4180  0.0000  0.4182 (multiplicity 2)  2 Be 2.62